Here is an optimized crystal structure of Nd3Sm2ScSe6 from Alexandria. Energies are from PBE.

Formation energy without anion corrections, eV per formula unit: -21.32
ρ, Mg/m³: 6.82
Symmetry: C2/m

The structure in POSCAR format:
```
Nd3Sm2ScSe6
1.0
9.063 -2.067 0.000
9.063 2.067 0.000
-1.982 0.000 8.134
Nd Sm Sc Se
3 2 1 6
Cartesian
0.000 0.000 0.000
4.644 0.000 5.402
11.500 0.000 2.732
5.709 0.000 1.353
10.435 0.000 6.781
-0.991 0.000 4.067
1.695 0.000 4.733
2.873 0.000 0.655
7.597 0.000 5.941
8.546 0.000 2.192
13.270 0.000 7.478
14.449 0.000 3.400
```

***

Here is an optimized crystal structure of Nd3Sm3ScSe8 from Alexandria. Energies are from PBE.

Formation energy without anion corrections, eV per formula unit: -27.61
ρ, Mg/m³: 6.32
Symmetry: R-3m

The structure in POSCAR format:
```
Nd3Sm3ScSe8
1.0
4.164 2.404 6.829
-4.164 2.404 6.829
0.000 -4.808 6.829
Nd Sm Sc Se
3 3 1 8
Cartesian
-2.082 -1.202 6.829
-2.082 1.202 13.658
0.000 2.404 6.829
-4.164 0.000 10.244
-2.082 1.202 3.415
2.082 1.202 3.415
0.000 0.000 10.244
0.000 0.000 5.088
-2.009 -1.160 11.857
0.000 -2.320 8.630
-2.009 1.160 8.630
2.009 -1.160 11.857
0.000 2.320 11.857
2.009 1.160 8.630
0.000 0.000 15.399
```

***

Here is an optimized crystal structure of Nd4Sm3ScSe8 from Alexandria. Energies are from PBE.

Formation energy without anion corrections, eV per formula unit: -28.50
ρ, Mg/m³: 6.89
Symmetry: R-3m

The structure in POSCAR format:
```
Nd4Sm3ScSe8
1.0
4.158 2.401 6.856
-4.158 2.401 6.856
0.000 -4.802 6.856
Nd Sm Sc Se
4 3 1 8
Cartesian
0.000 0.000 0.000
-2.079 -1.200 6.856
-2.079 1.200 13.712
0.000 2.401 6.856
-4.158 0.000 10.284
-2.079 1.200 3.428
2.079 1.200 3.428
0.000 0.000 10.284
0.000 0.000 5.105
-2.007 -1.159 11.903
0.000 -2.318 8.664
-2.007 1.159 8.664
2.007 -1.159 11.903
0.000 2.318 11.903
2.007 1.159 8.664
0.000 0.000 15.463
```

***

Here is an optimized crystal structure of NdSm4ScSe8 from Alexandria. Energies are from PBE.

Formation energy without anion corrections, eV per formula unit: -23.97
ρ, Mg/m³: 5.41
Symmetry: R3m

The structure in POSCAR format:
```
NdSm4ScSe8
1.0
4.254 2.456 6.963
-4.254 2.456 6.963
0.000 -4.912 6.963
Nd Sm Sc Se
1 4 1 8
Cartesian
0.000 0.000 0.000
0.000 2.541 17.285
2.201 -1.271 17.285
-2.201 -1.271 17.285
0.000 0.000 12.970
0.000 0.000 7.736
-2.267 -1.309 12.011
0.000 0.000 5.122
0.000 -2.441 8.635
-2.114 1.221 8.635
2.114 1.221 8.635
2.267 -1.309 12.011
0.000 2.617 12.011
0.000 0.000 15.767
```

***

Here is an optimized crystal structure of Nd3Sm4ScSe8 from Alexandria. Energies are from PBE.

Formation energy without anion corrections, eV per formula unit: -28.38
ρ, Mg/m³: 6.95
Symmetry: R-3m

The structure in POSCAR format:
```
Nd3Sm4ScSe8
1.0
4.171 2.408 6.786
-4.171 2.408 6.786
0.000 -4.816 6.786
Nd Sm Sc Se
3 4 1 8
Cartesian
-2.086 -1.204 6.786
-2.086 1.204 13.573
0.000 2.408 6.786
-4.171 0.000 10.179
-2.086 1.204 3.393
2.086 1.204 3.393
0.000 0.000 10.179
0.000 0.000 0.000
-2.170 -1.253 11.910
0.000 -2.506 8.449
-2.170 1.253 8.449
0.000 0.000 5.054
0.000 0.000 15.304
2.170 -1.253 11.910
0.000 2.506 11.910
2.170 1.253 8.449
```

***

Here is an optimized crystal structure of NdSmSc2Se4 from Alexandria. Energies are from PBE.

Formation energy without anion corrections, eV per formula unit: -13.59
ρ, Mg/m³: 6.24
Symmetry: P2/m

The structure in POSCAR format:
```
NdSmSc2Se4
1.0
6.927 0.000 0.000
0.000 3.976 0.000
-2.293 0.000 6.765
Nd Sm Sc Se
1 1 2 4
Cartesian
0.000 0.000 0.000
3.463 1.988 0.000
-1.146 1.988 3.382
2.317 0.000 3.382
0.025 0.000 4.896
1.175 1.988 1.880
3.459 1.988 4.885
4.609 0.000 1.869
```

***

Here is an optimized crystal structure of NdSm2ScSe4 from Alexandria. Energies are from PBE.

Formation energy without anion corrections, eV per formula unit: -13.90
ρ, Mg/m³: 6.75
Symmetry: P2/m

The structure in POSCAR format:
```
NdSm2ScSe4
1.0
7.127 0.000 0.000
0.000 4.074 0.000
-2.337 0.000 6.826
Nd Sm Sc Se
1 2 1 4
Cartesian
0.000 0.000 0.000
2.395 0.000 3.413
3.563 2.037 0.000
-1.168 2.037 3.413
-0.034 0.000 4.998
1.135 2.037 1.786
3.655 2.037 5.040
4.824 0.000 1.828
```

***

Here is an optimized crystal structure of Sr2NdScSe4 from Alexandria. Energies are from PBE.

Formation energy without anion corrections, eV per formula unit: -14.60
ρ, Mg/m³: 5.24
Symmetry: P2/m

The structure in POSCAR format:
```
Sr2NdScSe4
1.0
7.277 0.000 0.000
0.000 4.205 0.000
-2.428 0.000 7.044
Sr Nd Sc Se
2 1 1 4
Cartesian
0.000 0.000 0.000
3.639 2.103 0.000
-1.214 2.103 3.522
2.425 0.000 3.522
0.094 0.000 5.168
1.302 2.103 1.937
3.547 2.103 5.107
4.755 0.000 1.876
```

***

> Look up the formation energy without anion corrections of the first one.

-21.32 eV per formula unit